No. 1
A relaxed TlAsBr2 crystal, computed with PBE. Values from VASP.

Cell and atoms, written as Quantum ESPRESSO input:
```
&SYSTEM
  ibrav = 0, nat = 4, ntyp = 3
/
ATOMIC_SPECIES
Br 79.90 Br.upf
As 74.92 As.upf
Tl 204.38 Tl.upf
CELL_PARAMETERS angstrom
-3.4190 0.8246 -1.0121
0.4316 -2.6236 -3.5952
-1.3261 -6.7671 5.4782
ATOMIC_POSITIONS angstrom
Br -3.9030 -2.7661 0.9583
Br -3.0734 -7.1615 1.0841
As -3.7107 -7.0227 3.3546
Tl -1.5339 -3.4267 -0.9627
```

Properties
The value obtained for the raw formation energy is -0.1514 eV/atom. The magnetic moment is 0.0 μB per formula unit. Its space group is P1, No. 1.


No. 2
A relaxed CeNd2Y3As6 crystal, computed with PBE. Values from VASP.

Cell and atoms, written as Quantum ESPRESSO input:
```
&SYSTEM
  ibrav = 0, nat = 12, ntyp = 4
/
ATOMIC_SPECIES
Nd 144.24 Nd.upf
As 74.92 As.upf
Y 88.91 Y.upf
Ce 140.12 Ce.upf
CELL_PARAMETERS angstrom
4.1948 0.0000 0.0000
0.0000 8.3714 0.3105
-2.0974 -2.4012 8.7969
ATOMIC_POSITIONS angstrom
Nd 0.0000 2.0008 3.0448
Nd 2.0974 3.9694 6.0625
As 0.0000 1.8329 6.0294
As 2.0974 4.1373 3.0780
As 0.0000 6.1222 6.1524
As 2.0974 -0.1520 2.9549
As 0.0000 6.2667 0.2697
As 2.0974 -0.2965 8.8377
Y 0.0000 6.1699 3.2073
Y 2.0974 -0.1997 5.9001
Y 2.0974 4.1857 0.1552
Ce 2.0974 0.0000 0.0000
```

Properties
The formation energy comes out at -35.107 kcal/mol of atoms. The magnetic moment is 0.5 μB per formula unit. Its space group is C2/m, No. 12.


No. 3
A relaxed Tb8CeTm3 crystal, computed with PBE. Values from VASP.

Cell and atoms, written as Quantum ESPRESSO input:
```
&SYSTEM
  ibrav = 0, nat = 12, ntyp = 3
/
ATOMIC_SPECIES
Tm 168.93 Tm.upf
Tb 158.93 Tb.upf
Ce 140.12 Ce.upf
CELL_PARAMETERS angstrom
7.4869 -0.5007 -3.5695
-4.3821 6.9657 -1.1493
-0.3150 0.5007 8.2883
ATOMIC_POSITIONS angstrom
Tm 2.4117 1.8666 4.1441
Tm 0.3781 5.0991 -0.5747
Tm -2.3486 3.7332 3.5695
Tb 5.0894 0.4664 -1.8738
Tb 2.5343 1.3057 -0.1977
Tb 0.5156 5.2465 3.3718
Tb -4.0887 6.4993 4.2661
Tb -3.0741 4.8866 6.6203
Tb 0.1661 2.5798 1.6957
Tb -1.3966 2.2200 6.2781
Tb -3.5607 5.6600 1.2563
Ce 0.0000 0.0000 0.0000
```

Properties
The formation energy comes out at 14.350 kcal/mol of atoms. The magnetic moment is 0.0 μB per formula unit. Its space group is I-42m, No. 121.


No. 4
A relaxed LiCuP2O6 crystal, computed with PBE. Values from VASP.

Cell and atoms, written as Quantum ESPRESSO input:
```
&SYSTEM
  ibrav = 0, nat = 10, ntyp = 4
/
ATOMIC_SPECIES
O 16.00 O.upf
Cu 63.55 Cu.upf
P 30.97 P.upf
Li 6.94 Li.upf
CELL_PARAMETERS angstrom
5.3634 -0.0268 0.0000
-2.9665 4.4684 0.0000
0.0000 0.0000 5.6533
ATOMIC_POSITIONS angstrom
O 3.1382 1.1740 2.8267
O -0.4102 1.5098 1.0974
O 1.4872 0.4859 4.5559
O -0.7414 3.2676 2.8267
O 0.9097 3.9556 4.5559
O 2.8070 2.9317 1.0974
Cu 1.1984 2.2208 0.0000
P -1.4832 2.2342 1.8597
P 2.6817 -0.0134 3.7936
Li 0.0000 0.0000 0.0000
```

Properties
The value obtained for the raw formation energy is -1.8549 eV/atom. The magnetic moment is 0.1 μB per formula unit. Its space group is C222, No. 21.


No. 5
A relaxed Np2H2SeI crystal, computed with PBE. Values from VASP.

Cell and atoms, written as Quantum ESPRESSO input:
```
&SYSTEM
  ibrav = 0, nat = 6, ntyp = 4
/
ATOMIC_SPECIES
H 1.01 H.upf
I 126.90 I.upf
Se 78.96 Se.upf
Np 237.00 Np.upf
CELL_PARAMETERS angstrom
-1.9875 -2.3695 2.4074
3.8381 0.5762 0.5455
-1.7514 6.7473 5.1952
ATOMIC_POSITIONS angstrom
H 1.4431 1.3400 2.5103
H -1.3439 3.6140 5.6379
I 0.0000 0.0000 0.0000
Se -0.8757 3.3736 2.5976
Np -0.5450 0.5363 3.2681
Np 0.6442 4.4176 4.8800
```

Properties
For the total DFT energy (no corrections), the calculation gives -6.883 eV per atom. The magnetic moment is 9.0 μB per formula unit. Its space group is P-3m1, No. 164.


No. 6
A relaxed MgTiCd3 crystal, computed with PBE. Values from VASP.

Cell and atoms, written as Quantum ESPRESSO input:
```
&SYSTEM
  ibrav = 0, nat = 5, ntyp = 3
/
ATOMIC_SPECIES
Cd 112.41 Cd.upf
Mg 24.30 Mg.upf
Ti 47.87 Ti.upf
CELL_PARAMETERS angstrom
-3.5489 2.8814 2.8109
-3.5577 -3.9984 -0.3930
1.8833 -2.1234 4.5544
ATOMIC_POSITIONS angstrom
Cd 0.9417 -1.0617 2.2772
Cd -1.7788 -1.9992 -0.1965
Cd -1.7744 1.4407 1.4055
Mg -2.6116 -1.6202 3.4861
Ti 0.0000 0.0000 0.0000
```

Properties
The formation energy comes out at 16.410 kcal/mol of atoms. The magnetic moment is 2.4 μB per formula unit. Its space group is Pm-3m, No. 221.


No. 7
A relaxed Nd2TlGa2 crystal, computed with PBE. Values from VASP.

Cell and atoms, written as Quantum ESPRESSO input:
```
&SYSTEM
  ibrav = 0, nat = 10, ntyp = 3
/
ATOMIC_SPECIES
Nd 144.24 Nd.upf
Ga 69.72 Ga.upf
Tl 204.38 Tl.upf
CELL_PARAMETERS angstrom
4.5363 0.0000 0.0000
0.0000 7.5163 0.0000
0.0000 0.0000 7.5163
ATOMIC_POSITIONS angstrom
Nd 2.2681 2.4541 1.3040
Nd 2.2681 6.2122 2.4541
Nd 2.2681 1.3040 5.0622
Nd 2.2681 5.0622 6.2122
Ga 0.0000 0.9192 2.8389
Ga 0.0000 6.5970 4.6774
Ga 0.0000 4.6774 0.9192
Ga 0.0000 2.8389 6.5970
Tl 0.0000 0.0000 0.0000
Tl 0.0000 3.7581 3.7581
```

Properties
The formation energy comes out at -12.362 kcal/mol of atoms. The magnetic moment is 0.0 μB per formula unit. Its space group is P4/mbm, No. 127.


No. 8
A relaxed Nb2O5 crystal, computed with PBE. Values from VASP.

Cell and atoms, written as Quantum ESPRESSO input:
```
&SYSTEM
  ibrav = 0, nat = 7, ntyp = 2
/
ATOMIC_SPECIES
O 16.00 O.upf
Nb 92.91 Nb.upf
CELL_PARAMETERS angstrom
-0.0670 6.8243 0.0297
-3.7384 5.6922 -0.4470
-0.5316 0.0283 4.0269
ATOMIC_POSITIONS angstrom
O -0.8205 1.8585 1.9054
O 0.0000 0.0000 0.0000
O -1.2003 3.9407 -0.1140
O -3.1367 8.6042 3.7237
O -3.5166 10.6864 1.7043
Nb -1.0514 1.8556 3.6903
Nb -3.2857 10.6893 -0.0807
```

Properties
The value obtained for the raw formation energy is -2.5366 eV/atom. The magnetic moment is 0.0 μB per formula unit. Its space group is C2/m, No. 12.


- Among the records above, which one has the highest magnetic moment?
  Np2H2SeI


- Number 8 is which compound?
  Nb2O5